La5Sm3Er (PBE, relaxed); Fermi-level density of states = 33.922 states/eV per cell; VASP energy = -4.54 eV per atom; energy relative to the elements = 280 meV per atom
1.0
-3.385 -7.523 -3.922
0.583 -4.419 7.973
-5.722 8.247 -0.243
La Sm Er
10 6 2
Cartesian
-4.514 -6.591 -0.281
-2.869 -2.471 1.031
0.000 0.000 0.000
-5.656 -1.224 2.777
-4.011 2.897 4.089
-1.401 -5.971 2.025
-2.301 -4.068 5.336
-4.578 4.494 -0.216
-3.946 -8.189 4.024
-6.223 0.373 -1.528
-0.790 -6.821 5.551
-2.642 -9.379 1.418
-0.160 -2.563 2.633
-4.962 -4.833 2.917
-2.011 -5.120 -1.500
-3.562 1.138 0.891
-5.254 -2.623 -1.070
-3.270 -1.071 4.878